Record 1
Computed, not measured: Ce4Cd2H after structural relaxation at the PBE level of DFT.

Density of states at the Fermi level = 3.071 states/eV/atom
VASP energy = -4.1640 eV per atom
Crystal system = tetragonal
Spin magnetization = 10.89 Bohr magnetons per cell

Structure (CIF):
```
data_Ce4Cd2H
_cell_length_a 4.7853
_cell_length_b 4.7853
_cell_length_c 16.2410
_cell_angle_alpha 90.00
_cell_angle_beta 90.00
_cell_angle_gamma 90.00
_space_group_name_H-M_alt 'I 4/m m m'
_space_group_IT_number 139
_space_group_name_Hall '-I 4 2'
loop_
_atom_site_label
_atom_site_fract_x
_atom_site_fract_y
_atom_site_fract_z
Ce1 0.0000 0.0000 0.1713
Ce2 0.0000 0.5000 0.0000
Cd1 0.0000 0.0000 0.3641
H1 0.0000 0.0000 0.0000
```

Record 2
Computed, not measured: Ce12Cd3H5 after structural relaxation at the PBE level of DFT.

Density of states at the Fermi level = 3.378 states/eV/atom
VASP energy = -4.5431 eV per atom
Crystal system = cubic
Spin magnetization = 135.23 Bohr magnetons per cell

Structure (CIF):
```
data_Ce12Cd3H5
_cell_length_a 15.7573
_cell_length_b 15.7573
_cell_length_c 15.7573
_cell_angle_alpha 90.00
_cell_angle_beta 90.00
_cell_angle_gamma 90.00
_space_group_name_H-M_alt 'I a -3 d'
_space_group_IT_number 230
_space_group_name_Hall '-I 4bd 2c 3'
loop_
_atom_site_label
_atom_site_fract_x
_atom_site_fract_y
_atom_site_fract_z
Ce1 0.0445 0.0541 0.6450
Cd1 0.0000 0.2500 0.1250
H1 0.0000 0.0000 0.0000
H2 0.0000 0.2500 0.3750
```

Record 3
Computed, not measured: Ce2CdH8 after structural relaxation at the PBE level of DFT.

Density of states at the Fermi level = 0.932 states/eV/atom
VASP energy = -3.8879 eV per atom
Crystal system = orthorhombic
Spin magnetization = 3.82 Bohr magnetons per cell

Structure (CIF):
```
data_Ce2CdH8
_cell_length_a 3.9086
_cell_length_b 4.8945
_cell_length_c 11.4171
_cell_angle_alpha 90.00
_cell_angle_beta 90.00
_cell_angle_gamma 90.00
_space_group_name_H-M_alt 'I m m m'
_space_group_IT_number 71
_space_group_name_Hall '-I 2 2'
loop_
_atom_site_label
_atom_site_fract_x
_atom_site_fract_y
_atom_site_fract_z
Ce1 0.0000 0.0000 0.1724
Cd1 0.0000 0.0000 0.5000
H1 0.0000 0.2373 0.0000
H2 0.0000 0.2519 0.3537
H3 0.0000 0.5000 0.2037
```

Record 4
Computed, not measured: CeCdH6Ir2 after structural relaxation at the PBE level of DFT.

Density of states at the Fermi level = 0.415 states/eV/atom
VASP energy = -4.7379 eV per atom
Crystal system = trigonal
Spin magnetization = 1.18 Bohr magnetons per cell

Structure (CIF):
```
data_CeCdH6Ir2
_cell_length_a 4.7318
_cell_length_b 4.7318
_cell_length_c 15.6710
_cell_angle_alpha 90.00
_cell_angle_beta 90.00
_cell_angle_gamma 120.00
_space_group_name_H-M_alt 'R -3 m'
_space_group_IT_number 166
_space_group_name_Hall '-R 3 2"'
loop_
_atom_site_label
_atom_site_fract_x
_atom_site_fract_y
_atom_site_fract_z
Ce1 0.0000 0.0000 0.0000
Cd1 0.0000 0.0000 0.5000
H1 0.0233 0.5117 0.9459
Ir1 0.0000 0.0000 0.2126
```

spin magnetization of number 2 (Ce12Cd3H5)?
135.23 Bohr magnetons per cell

Which of these has the highest density of states at the Fermi level?
Ce12Cd3H5

What is the formula in the fourth record?
CeCdH6Ir2

Copy entry 4 word for word.
Computed, not measured: CeCdH6Ir2 after structural relaxation at the PBE level of DFT.

Density of states at the Fermi level = 0.415 states/eV/atom
VASP energy = -4.7379 eV per atom
Crystal system = trigonal
Spin magnetization = 1.18 Bohr magnetons per cell

Structure (CIF):
```
data_CeCdH6Ir2
_cell_length_a 4.7318
_cell_length_b 4.7318
_cell_length_c 15.6710
_cell_angle_alpha 90.00
_cell_angle_beta 90.00
_cell_angle_gamma 120.00
_space_group_name_H-M_alt 'R -3 m'
_space_group_IT_number 166
_space_group_name_Hall '-R 3 2"'
loop_
_atom_site_label
_atom_site_fract_x
_atom_site_fract_y
_atom_site_fract_z
Ce1 0.0000 0.0000 0.0000
Cd1 0.0000 0.0000 0.5000
H1 0.0233 0.5117 0.9459
Ir1 0.0000 0.0000 0.2126
```